1.
# LaAg2Au

An optimized crystal structure of LaAg2Au (PBE, Alexandria).

Values from the calculation:
ΔE to the lowest computed polymorph   0.134 eV per atom
Size of the total moment   0.00 μB/cell
SG   P2/m
D(E_F)   2.1 states/eV per cell
Energy   -3.76 eV per atom
ΔE_f   -287 meV per atom

Unit cell a=5.0066 b=3.5623 c=5.4310 alpha=90.28 beta=90.00 gamma=90.00
Closest atoms and distances in Å follow each position.
Fractional positions:
Au 0.5000 0.2500 0.2500  4 Ag 2.85
Ag 0.0000 0.2528 0.9999  2 Ag 2.71-2.72, 2 Au 2.85
Ag 0.0000 0.2472 0.5001  2 Ag 2.71-2.72, 2 Au 2.85
La 0.5000 0.7500 0.7500  4 Au 3.24-3.25, 8 Ag 3.36, 2 La 3.56


2.
# K5In3P6Se19

An optimized crystal structure of K5In3P6Se19 (PBE, Alexandria).

Values from the calculation:
Size of the total moment   0.00 μB/cell
SG   P-1
Energy   -3.94 eV per atom
E_form (uncorrected)   -538 meV per atom

Unit cell a=7.9694 b=13.5181 c=18.9067 alpha=86.80 beta=87.86 gamma=81.93
Closest atoms and distances in Å follow each position.
Fractional positions:
K 0.7402 0.4062 0.0743  6 Se 3.34-3.65
K 0.2598 0.5938 0.9257  6 Se 3.34-3.65
K 0.9454 0.1563 0.4400  6 Se 3.36-3.61
K 0.0546 0.8437 0.5600  6 Se 3.36-3.61
K 0.7421 0.7845 0.1965  7 Se 3.33-3.64
K 0.2579 0.2155 0.8035  7 Se 3.33-3.64
K 0.5806 0.6449 0.3910  6 Se 3.35-3.57
K 0.4194 0.3551 0.6090  6 Se 3.35-3.57
K 0.2319 0.8870 0.0939  5 Se 3.39-3.62
K 0.7681 0.1130 0.9061  5 Se 3.39-3.62
In 0.5084 0.0988 0.3315  6 Se 2.73-2.88
In 0.4916 0.9012 0.6685  6 Se 2.73-2.88
In 0.2453 0.2628 0.1632  4 Se 2.59-2.70
In 0.7547 0.7372 0.8368  4 Se 2.59-2.70
In 0.1874 0.4368 0.3241  4 Se 2.65-2.78
In 0.8126 0.5632 0.6759  4 Se 2.65-2.78
P 0.6417 0.0618 0.1335  3 Se 2.15-2.26, 1 P 2.30
P 0.3583 0.9382 0.8665  3 Se 2.15-2.26, 1 P 2.30
P 0.8610 0.0992 0.1987  3 Se 2.15-2.26, 1 P 2.30
P 0.1390 0.9008 0.8013  3 Se 2.15-2.26, 1 P 2.30
P 0.1307 0.5702 0.1452  3 Se 2.16-2.26, 1 P 2.31
P 0.8693 0.4298 0.8548  3 Se 2.16-2.26, 1 P 2.31
P 0.3822 0.6070 0.1869  3 Se 2.17-2.24, 1 P 2.31
P 0.6178 0.3930 0.8131  3 Se 2.17-2.24, 1 P 2.31
P 0.9152 0.4379 0.5053  3 Se 2.15-2.26, 1 P 2.30
P 0.0848 0.5621 0.4947  3 Se 2.15-2.26, 1 P 2.30
P 0.5018 0.9355 0.4637  3 Se 2.21-2.24, 1 P 2.27
P 0.4982 0.0645 0.5363  3 Se 2.21-2.24, 1 P 2.27
Se 0.2189 0.2406 0.2997  3 In 2.59-2.84
Se 0.7811 0.7594 0.7003  3 In 2.59-2.84
Se 0.4648 0.9994 0.2119  1 P 2.22
Se 0.5352 0.0006 0.7881  1 P 2.22
Se 0.5170 0.2072 0.0823  1 P 2.26
Se 0.4830 0.7928 0.9177  1 P 2.26
Se 0.7414 0.9572 0.0556  1 P 2.15
Se 0.2586 0.0428 0.9444  1 P 2.15
Se 0.7413 0.2122 0.2735  1 P 2.23
Se 0.2587 0.7878 0.7265  1 P 2.23
Se 0.0027 0.1719 0.1088  1 P 2.26
Se 0.9973 0.8281 0.8912  1 P 2.26
Se 0.9930 0.9635 0.2468  1 P 2.15
Se 0.0070 0.0365 0.7532  1 P 2.15
Se 0.1801 0.4324 0.0810  1 P 2.26
Se 0.8199 0.5676 0.9190  1 P 2.26
Se 0.9605 0.5414 0.2394  1 P 2.25
Se 0.0395 0.4586 0.7606  1 P 2.25
Se 0.0203 0.6900 0.0736  1 P 2.16
Se 0.9797 0.3100 0.9264  1 P 2.16
Se 0.4794 0.4622 0.2442  1 P 2.24
Se 0.5206 0.5378 0.7558  1 P 2.24
Se 0.3204 0.7328 0.2544  1 P 2.17
Se 0.6796 0.2672 0.7456  1 P 2.17
Se 0.5353 0.6369 0.0929  1 P 2.17
Se 0.4647 0.3631 0.9071  1 P 2.17
Se 0.8520 0.4148 0.3951  1 P 2.21
Se 0.1480 0.5852 0.6049  1 P 2.21
Se 0.0259 0.3074 0.5662  1 P 2.15
Se 0.9741 0.6926 0.4338  1 P 2.15
Se 0.6793 0.5211 0.5564  1 P 2.26
Se 0.3207 0.4789 0.4436  1 P 2.26
Se 0.2786 0.9713 0.3956  1 P 2.22
Se 0.7214 0.0287 0.6044  1 P 2.22
Se 0.7311 0.9377 0.3921  1 P 2.24
Se 0.2689 0.0623 0.6079  1 P 2.24
Se 0.4973 0.8028 0.5367  1 P 2.21
Se 0.5027 0.1972 0.4633  1 P 2.21


3.
# Mn2NiOs

An optimized crystal structure of Mn2NiOs (PBE, Alexandria).

Values from the calculation:
Size of the total moment   2.72 μB/cell
SG   I4/mmm
D(E_F)   4.4 states/eV per cell
Energy   -8.81 eV per atom
ΔE_f   23 meV per atom

Unit cell a=4.4192 b=4.4192 c=4.4192 alpha=131.18 beta=131.21 gamma=71.51
Closest atoms and distances in Å follow each position.
Fractional positions:
Ni 0.7500 0.2500 0.5000  8 Mn 2.56, 4 Os 2.58
Mn 0.0000 0.0000 0.0000  4 Ni 2.56, 4 Os 2.56, 4 Mn 2.58
Mn 0.5000 0.5000 0.0000  4 Ni 2.56, 4 Os 2.56, 4 Mn 2.58
Os 0.2500 0.7500 0.5000  8 Mn 2.56, 4 Ni 2.58


4.
# TbZn12Cu6

An optimized crystal structure of TbZn12Cu6 (PBE, Alexandria).

Values from the calculation:
Size of the total moment   0.00 μB/cell
SG   R-3m
D(E_F)   3.8 states/eV per cell
Energy   -2.39 eV per atom
ΔE_f   -51 meV per atom

Unit cell a=6.9491 b=6.9491 c=6.9491 alpha=104.70 beta=104.70 gamma=104.70
Closest atoms and distances in Å follow each position.
Fractional positions:
Tb 0.0000 0.0000 0.0000  6 Zn 3.08
Zn 0.8868 0.1132 0.5000  4 Cu 2.44-2.55, 3 Zn 2.49-2.66
Zn 0.8607 0.6055 0.6055  4 Cu 2.49-2.76, 2 Zn 2.66
Zn 0.6055 0.6055 0.8607  4 Cu 2.49-2.76, 2 Zn 2.66
Zn 0.3945 0.1393 0.3945  4 Cu 2.49-2.76, 2 Zn 2.66
Zn 0.3945 0.3945 0.1393  4 Cu 2.49-2.76, 2 Zn 2.66
Zn 0.1393 0.3945 0.3945  4 Cu 2.49-2.76, 2 Zn 2.66
Zn 0.1132 0.5000 0.8868  4 Cu 2.44-2.55, 3 Zn 2.49-2.66
Zn 0.5000 0.8868 0.1132  4 Cu 2.44-2.55, 3 Zn 2.49-2.66
Zn 0.1132 0.8868 0.5000  4 Cu 2.44-2.55, 3 Zn 2.49-2.66
Zn 0.8868 0.5000 0.1132  4 Cu 2.44-2.55, 3 Zn 2.49-2.66
Zn 0.5000 0.1132 0.8868  4 Cu 2.44-2.55, 3 Zn 2.49-2.66
Zn 0.6055 0.8607 0.6055  4 Cu 2.49-2.76, 2 Zn 2.66
Cu 0.7048 0.2833 0.2833  7 Zn 2.44-2.55
Cu 0.2833 0.2833 0.7048  7 Zn 2.44-2.55
Cu 0.2833 0.7048 0.2833  7 Zn 2.44-2.55
Cu 0.7167 0.7167 0.2952  7 Zn 2.44-2.55
Cu 0.2952 0.7167 0.7167  7 Zn 2.44-2.55
Cu 0.7167 0.2952 0.7167  7 Zn 2.44-2.55


5.
# CrPbS2

An optimized crystal structure of CrPbS2 (PBE, Alexandria).

Values from the calculation:
Size of the total moment   12.89 μB/cell
SG   Pna2_1
D(E_F)   11.9 states/eV per cell
Energy   -5.74 eV per atom
E_form (uncorrected)   -346 meV per atom

Unit cell a=6.6832 b=8.3210 c=7.0545 alpha=90.00 beta=90.00 gamma=90.00
Closest atoms and distances in Å follow each position.
Fractional positions:
Pb 0.1024 0.8028 0.9494  3 S 2.85-3.09
Pb 0.8976 0.1972 0.4494  3 S 2.85-3.09
Pb 0.3976 0.3028 0.4494  3 S 2.85-3.09
Pb 0.6024 0.6972 0.9494  3 S 2.85-3.09
Cr 0.1003 0.3680 0.0235  4 S 2.28-2.31
Cr 0.8997 0.6320 0.5235  4 S 2.28-2.31
Cr 0.3997 0.8680 0.5235  4 S 2.28-2.31
Cr 0.6003 0.1320 0.0235  4 S 2.28-2.31
S 0.4368 0.9573 0.2190  2 Cr 2.28-2.29
S 0.5632 0.0427 0.7190  2 Cr 2.28-2.29
S 0.0632 0.4573 0.7190  2 Cr 2.28-2.29
S 0.9368 0.5427 0.2190  2 Cr 2.28-2.29
S 0.0560 0.8778 0.5580  2 Cr 2.31
S 0.9440 0.1222 0.0580  2 Cr 2.31
S 0.4440 0.3778 0.0580  2 Cr 2.31
S 0.5560 0.6222 0.5580  2 Cr 2.31


6.
# PPtSe2

An optimized crystal structure of PPtSe2 (PBE, Alexandria).

Values from the calculation:
Size of the total moment   0.00 μB/cell
SG   Cmmm
D(E_F)   2.2 states/eV per cell
Energy   -4.58 eV per atom
E_form (uncorrected)   23 meV per atom

Unit cell a=4.5865 b=4.5865 c=3.7778 alpha=90.00 beta=90.00 gamma=112.10
Closest atoms and distances in Å follow each position.
Fractional positions:
P 0.5000 0.5000 0.5000  2 Pt 2.56, 4 Se 2.78
Pt 0.0000 0.0000 0.5000  2 P 2.56, 4 Se 2.59
Se 0.7678 0.2322 0.0000  2 Se 2.58, 2 Pt 2.59, 2 P 2.78
Se 0.2322 0.7678 0.0000  2 Se 2.58, 2 Pt 2.59, 2 P 2.78


size of the total moment of number 3 (Mn2NiOs)? 2.72 μB/cell